# CrRuS2F

A crystal of CrRuS2F relaxed with PBEsol (meta-GGA SCAN, the Alexandria database).

Lattice parameters (Å, degrees): 4.590 4.590 3.551 90.00 90.00 90.00
Element x y z (fractional)
1 Cr 0.000 0.000 0.000
2 Ru 0.500 0.500 0.000
3 S 0.000 0.500 0.500
4 S 0.500 0.000 0.500
5 F 0.000 0.000 0.500

Summary:
Formation energy without anion corrections (meV per atom): 405.6
E (eV for the cell shown): -74.0

# Cr3SF

A crystal of Cr3SF relaxed with PBEsol (meta-GGA SCAN, the Alexandria database).

Lattice parameters (Å, degrees): 4.411 4.411 4.411 90.00 90.00 90.00
Element x y z (fractional)
1 Cr 0.000 0.000 0.500
2 Cr 0.000 0.500 0.000
3 Cr 0.500 0.000 0.000
4 S 0.500 0.500 0.500
5 F 0.000 0.000 0.000

Summary:
Formation energy without anion corrections (meV per atom): -97.6
E (eV for the cell shown): -68.8

# Cr2SbF

A crystal of Cr2SbF relaxed with PBEsol (meta-GGA SCAN, the Alexandria database).

Lattice parameters (Å, degrees): 4.523 4.523 4.523 60.00 60.00 60.00
Element x y z (fractional)
1 Cr 0.250 0.250 0.250
2 Cr 0.750 0.750 0.750
3 Sb 0.000 0.000 0.000
4 F 0.500 0.500 0.500

Summary:
Formation energy without anion corrections (meV per atom): -587.8
E (eV for the cell shown): -79.9

# CrSbF2

A crystal of CrSbF2 relaxed with PBEsol (meta-GGA SCAN, the Alexandria database).

Lattice parameters (Å, degrees): 8.908 8.908 8.908 20.89 20.89 20.89
Element x y z (fractional)
1 Cr 0.000 0.000 0.000
2 Sb 0.500 0.500 0.500
3 F 0.367 0.367 0.367
4 F 0.633 0.633 0.633

Summary:
Formation energy without anion corrections (meV per atom): -1650.2
E (eV for the cell shown): -69.3